Record 1
# Sr2Sn4GePd3

Crystalline Sr2Sn4GePd3 at its relaxed geometry (PBE, Alexandria via LeMat-Bulk).

Summary:
V   243 Å³/f.u.
Calculated formation energy   -614 meV/atom
Symmetry   No. 115

Cell lengths 4.668, 4.668, 11.165 Å; angles 90.00, 90.00, 90.00 degrees
Element x y z (fractional)
Sr1 0.500 0.000 0.252
Sr2 0.000 0.500 0.748
Sn1 0.500 0.500 0.000
Sn2 0.000 0.000 0.000
Sn3 0.500 0.000 0.635
Sn4 0.000 0.500 0.365
Ge1 0.500 0.500 0.500
Pd1 0.000 0.000 0.500
Pd2 0.500 0.000 0.873
Pd3 0.000 0.500 0.127

Record 2
# Sr2SnGe3Pd4

Crystalline Sr2SnGe3Pd4 at its relaxed geometry (PBE, Alexandria via LeMat-Bulk).

Summary:
V   211 Å³/f.u.
Calculated formation energy   -698 meV/atom
Symmetry   No. 115

Cell lengths 4.464, 4.464, 10.581 Å; angles 90.00, 90.00, 90.00 degrees
Element x y z (fractional)
Sr1 0.500 0.000 0.244
Sr2 0.000 0.500 0.756
Sn1 0.500 0.500 0.500
Ge1 0.000 0.000 0.500
Ge2 0.500 0.000 0.883
Ge3 0.000 0.500 0.117
Pd1 0.500 0.500 0.000
Pd2 0.000 0.000 0.000
Pd3 0.500 0.000 0.643
Pd4 0.000 0.500 0.357

Record 3
# TbSn2Ge2Pd7

Crystalline TbSn2Ge2Pd7 at its relaxed geometry (PBE, Alexandria via LeMat-Bulk).

Summary:
V   228 Å³/f.u.
Calculated formation energy   -480 meV/atom
Symmetry   No. 12

Cell lengths 4.030, 4.030, 14.287 Å; angles 82.85, 82.85, 89.18 degrees
Element x y z (fractional)
Tb1 0.000 0.000 0.000
Sn1 0.887 0.887 0.382
Sn2 0.113 0.113 0.618
Ge1 0.609 0.609 0.742
Ge2 0.391 0.391 0.258
Pd1 0.500 0.500 0.000
Pd2 0.350 0.350 0.433
Pd3 0.650 0.650 0.567
Pd4 0.933 0.431 0.153
Pd5 0.431 0.933 0.153
Pd6 0.569 0.067 0.847
Pd7 0.067 0.569 0.847

Record 4
# ThSn2Ge2Pd7

Crystalline ThSn2Ge2Pd7 at its relaxed geometry (PBE, Alexandria via LeMat-Bulk).

Summary:
V   227 Å³/f.u.
Calculated formation energy   -473 meV/atom
Symmetry   No. 12

Cell lengths 4.197, 4.197, 12.978 Å; angles 85.42, 85.42, 89.12 degrees
Element x y z (fractional)
Th1 0.000 0.000 0.000
Sn1 0.932 0.932 0.344
Sn2 0.068 0.068 0.656
Ge1 0.560 0.560 0.718
Ge2 0.440 0.440 0.282
Pd1 0.500 0.500 0.000
Pd2 0.285 0.285 0.467
Pd3 0.715 0.715 0.533
Pd4 0.963 0.460 0.165
Pd5 0.460 0.963 0.165
Pd6 0.540 0.037 0.835
Pd7 0.037 0.540 0.835

Record 5
# TmSn2Ge2Pd7

Crystalline TmSn2Ge2Pd7 at its relaxed geometry (PBE, Alexandria via LeMat-Bulk).

Summary:
V   225 Å³/f.u.
Calculated formation energy   -501 meV/atom
Symmetry   No. 12

Cell lengths 4.009, 4.009, 14.251 Å; angles 82.86, 82.86, 89.24 degrees
Element x y z (fractional)
Tm1 0.000 0.000 0.000
Sn1 0.883 0.883 0.380
Sn2 0.117 0.117 0.620
Ge1 0.609 0.609 0.743
Ge2 0.391 0.391 0.257
Pd1 0.500 0.500 0.000
Pd2 0.347 0.347 0.433
Pd3 0.653 0.653 0.567
Pd4 0.934 0.432 0.151
Pd5 0.432 0.934 0.151
Pd6 0.568 0.066 0.849
Pd7 0.066 0.568 0.849

Record 6
# YSn2Ge2Pd7

Crystalline YSn2Ge2Pd7 at its relaxed geometry (PBE, Alexandria via LeMat-Bulk).

Summary:
V   228 Å³/f.u.
Calculated formation energy   -475 meV/atom
Symmetry   No. 12

Cell lengths 4.028, 4.028, 14.281 Å; angles 82.99, 82.99, 89.21 degrees
Element x y z (fractional)
Y1 0.000 0.000 0.000
Sn1 0.885 0.885 0.382
Sn2 0.115 0.115 0.618
Ge1 0.608 0.608 0.742
Ge2 0.392 0.392 0.258
Pd1 0.500 0.500 0.000
Pd2 0.349 0.349 0.433
Pd3 0.651 0.651 0.567
Pd4 0.934 0.433 0.153
Pd5 0.433 0.934 0.153
Pd6 0.567 0.066 0.847
Pd7 0.066 0.567 0.847

Record 7
# Y2SnGePd6

Crystalline Y2SnGePd6 at its relaxed geometry (PBE, Alexandria via LeMat-Bulk).

Summary:
V   193 Å³/f.u.
Calculated formation energy   -678 meV/atom
Symmetry   No. 12

Cell lengths 6.462, 6.633, 8.884 Å; angles 46.49, 48.09, 74.24 degrees
Element x y z (fractional)
Y1 0.752 0.248 0.501
Y2 0.248 0.752 0.499
Sn1 0.000 0.000 0.000
Ge1 0.500 0.500 0.000
Pd1 0.191 0.314 0.488
Pd2 0.686 0.809 0.993
Pd3 0.255 0.745 0.819
Pd4 0.745 0.255 0.181
Pd5 0.314 0.191 0.007
Pd6 0.809 0.686 0.512

Record 8
# Zn2Sn2GePd5

Crystalline Zn2Sn2GePd5 at its relaxed geometry (PBE, Alexandria via LeMat-Bulk).

Summary:
V   171 Å³/f.u.
Calculated formation energy   -384 meV/atom
Symmetry   No. 127

Cell lengths 3.298, 10.188, 10.188 Å; angles 90.00, 90.00, 90.00 degrees
Element x y z (fractional)
Zn1 0.000 0.145 0.645
Zn2 0.000 0.855 0.355
Zn3 0.000 0.645 0.855
Zn4 0.000 0.355 0.145
Sn1 0.000 0.666 0.166
Sn2 0.000 0.334 0.834
Sn3 0.000 0.166 0.334
Sn4 0.000 0.834 0.666
Ge1 0.000 0.000 0.000
Ge2 0.000 0.500 0.500
Pd1 0.500 0.200 0.012
Pd2 0.500 0.800 0.988
Pd3 0.500 0.012 0.800
Pd4 0.500 0.700 0.488
Pd5 0.500 0.988 0.200
Pd6 0.500 0.300 0.512
Pd7 0.500 0.512 0.700
Pd8 0.500 0.488 0.300
Pd9 0.500 0.500 0.000
Pd10 0.500 0.000 0.500

Record 9
# Sr3Ge4Pd2

Crystalline Sr3Ge4Pd2 at its relaxed geometry (PBE, Alexandria via LeMat-Bulk).

Summary:
V   226 Å³/f.u.
Excess energy over the best structure of this formula in the dataset   0.000 eV/f.u.
Calculated formation energy   -693 meV/atom
Symmetry   No. 12

Cell lengths 4.189, 6.415, 8.992 Å; angles 97.84, 90.00, 109.06 degrees
Element x y z (fractional)
Sr1 0.669 0.339 0.665
Sr2 0.000 0.000 0.000
Sr3 0.331 0.661 0.335
Ge1 0.718 0.437 0.063
Ge2 0.282 0.563 0.937
Ge3 0.947 0.895 0.611
Ge4 0.053 0.105 0.389
Pd1 0.608 0.217 0.278
Pd2 0.392 0.783 0.722

Record 10
# SrGe4Pd4

Crystalline SrGe4Pd4 at its relaxed geometry (PBE, Alexandria via LeMat-Bulk).

Summary:
V   181 Å³/f.u.
Calculated formation energy   -496 meV/atom
Symmetry   No. 87

Cell lengths 4.881, 8.602, 8.602 Å; angles 90.00, 90.00, 90.00 degrees
Element x y z (fractional)
Sr1 0.000 0.000 0.000
Sr2 0.500 0.500 0.500
Ge1 0.500 0.841 0.301
Ge2 0.500 0.159 0.699
Ge3 0.000 0.801 0.659
Ge4 0.000 0.341 0.801
Ge5 0.000 0.659 0.199
Ge6 0.500 0.301 0.159
Ge7 0.500 0.699 0.841
Ge8 0.000 0.199 0.341
Pd1 0.500 0.394 0.876
Pd2 0.000 0.624 0.894
Pd3 0.500 0.606 0.124
Pd4 0.000 0.106 0.624
Pd5 0.500 0.876 0.606
Pd6 0.000 0.894 0.376
Pd7 0.000 0.376 0.106
Pd8 0.500 0.124 0.394

Record 11
# Sr2GePd6

Crystalline Sr2GePd6 at its relaxed geometry (PBE, Alexandria via LeMat-Bulk).

Summary:
V   176 Å³/f.u.
Excess energy over the best structure of this formula in the dataset   0.000 eV/f.u.
Calculated formation energy   -586 meV/atom
Symmetry   No. 12

Cell lengths 5.851, 5.867, 6.161 Å; angles 76.38, 90.00, 119.91 degrees
Element x y z (fractional)
Sr1 0.639 0.277 0.170
Sr2 0.361 0.723 0.830
Ge1 0.000 0.000 0.000
Pd1 0.882 0.276 0.688
Pd2 0.884 0.768 0.690
Pd3 0.394 0.276 0.688
Pd4 0.118 0.724 0.312
Pd5 0.116 0.232 0.310
Pd6 0.606 0.724 0.312

Record 12
# SrGe2Pd3

Crystalline SrGe2Pd3 at its relaxed geometry (PBE, Alexandria via LeMat-Bulk).

Summary:
V   118 Å³/f.u.
Calculated formation energy   -646 meV/atom
Symmetry   No. 12

Cell lengths 4.221, 8.257, 7.726 Å; angles 114.19, 90.00, 104.81 degrees
Element x y z (fractional)
Sr1 0.844 0.688 0.926
Sr2 0.156 0.312 0.074
Ge1 0.483 0.966 0.823
Ge2 0.517 0.034 0.177
Ge3 0.817 0.634 0.341
Ge4 0.183 0.366 0.659
Pd1 0.318 0.636 0.570
Pd2 0.963 0.925 0.641
Pd3 0.597 0.193 0.680
Pd4 0.403 0.807 0.320
Pd5 0.037 0.075 0.359
Pd6 0.682 0.364 0.430

Record 13
# SrGe3Pd2

Crystalline SrGe3Pd2 at its relaxed geometry (PBE, Alexandria via LeMat-Bulk).

Summary:
V   129 Å³/f.u.
Calculated formation energy   -482 meV/atom
Symmetry   No. 63

Cell lengths 6.298, 6.410, 6.410 Å; angles 96.69, 90.00, 90.00 degrees
Element x y z (fractional)
Sr1 0.750 0.295 0.705
Sr2 0.250 0.705 0.295
Ge1 0.250 0.136 0.864
Ge2 0.250 0.527 0.767
Ge3 0.750 0.767 0.527
Ge4 0.250 0.233 0.473
Ge5 0.750 0.473 0.233
Ge6 0.750 0.864 0.136
Pd1 0.000 0.826 0.826
Pd2 0.500 0.826 0.826
Pd3 0.000 0.174 0.174
Pd4 0.500 0.174 0.174

Record 14
# SrGe4Pd6

Crystalline SrGe4Pd6 at its relaxed geometry (PBE, Alexandria via LeMat-Bulk).

Summary:
V   189 Å³/f.u.
Calculated formation energy   -626 meV/atom
Symmetry   No. 187

Cell lengths 4.017, 7.375, 7.375 Å; angles 120.00, 90.00, 90.00 degrees
Element x y z (fractional)
Sr1 0.000 0.000 0.000
Ge1 0.500 0.805 0.611
Ge2 0.500 0.389 0.195
Ge3 0.500 0.805 0.195
Ge4 0.000 0.333 0.667
Pd1 0.000 0.535 0.070
Pd2 0.500 0.596 0.798
Pd3 0.000 0.535 0.465
Pd4 0.000 0.930 0.465
Pd5 0.500 0.202 0.798
Pd6 0.500 0.202 0.404

Record 15
# SrGe2Pd3

Crystalline SrGe2Pd3 at its relaxed geometry (PBE, Alexandria via LeMat-Bulk).

Summary:
V   114 Å³/f.u.
Calculated formation energy   -677 meV/atom
Symmetry   No. 12

Cell lengths 4.124, 8.729, 10.276 Å; angles 107.21, 90.00, 103.66 degrees
Element x y z (fractional)
Sr1 0.157 0.314 0.699
Sr2 0.843 0.686 0.301
Sr3 0.000 0.000 0.000
Ge1 0.198 0.397 0.131
Ge2 0.802 0.603 0.869
Ge3 0.465 0.931 0.226
Ge4 0.535 0.069 0.774
Ge5 0.362 0.724 0.549
Ge6 0.638 0.276 0.451
Pd1 0.043 0.086 0.334
Pd2 0.957 0.914 0.666
Pd3 0.217 0.435 0.395
Pd4 0.783 0.565 0.605
Pd5 0.626 0.252 0.204
Pd6 0.374 0.748 0.796
Pd7 0.500 0.000 0.500
Pd8 0.322 0.644 0.034
Pd9 0.678 0.356 0.966

Record 16
# SrGe2Pd

Crystalline SrGe2Pd at its relaxed geometry (PBE, Alexandria via LeMat-Bulk).

Summary:
V   89 Å³/f.u.
Calculated formation energy   -609 meV/atom
Symmetry   No. 62

Cell lengths 4.400, 11.208, 14.500 Å; angles 90.00, 90.00, 90.00 degrees
Element x y z (fractional)
Sr1 0.750 0.492 0.704
Sr2 0.250 0.992 0.796
Sr3 0.250 0.508 0.296
Sr4 0.750 0.008 0.204
Sr5 0.750 0.259 0.953
Sr6 0.250 0.759 0.547
Sr7 0.250 0.741 0.047
Sr8 0.750 0.241 0.453
Ge1 0.750 0.961 0.967
Ge2 0.250 0.461 0.533
Ge3 0.250 0.039 0.033
Ge4 0.750 0.539 0.467
Ge5 0.750 0.758 0.881
Ge6 0.250 0.258 0.619
Ge7 0.250 0.242 0.119
Ge8 0.750 0.742 0.381
Ge9 0.750 0.778 0.708
Ge10 0.250 0.278 0.792
Ge11 0.250 0.222 0.292
Ge12 0.750 0.722 0.208
Ge13 0.750 0.986 0.624
Ge14 0.250 0.486 0.876
Ge15 0.250 0.014 0.376
Ge16 0.750 0.514 0.124
Pd1 0.750 0.548 0.947
Pd2 0.250 0.048 0.553
Pd3 0.250 0.452 0.053
Pd4 0.750 0.952 0.447
Pd5 0.750 0.294 0.207
Pd6 0.250 0.794 0.293
Pd7 0.250 0.706 0.793
Pd8 0.750 0.206 0.707

Record 17
# SrGe2Pd2

Crystalline SrGe2Pd2 at its relaxed geometry (PBE, Alexandria via LeMat-Bulk).

Summary:
V   98 Å³/f.u.
Calculated formation energy   -385 meV/atom
Symmetry   No. 127

Cell lengths 7.856, 7.856, 3.168 Å; angles 90.00, 90.00, 90.00 degrees
Element x y z (fractional)
Sr1 0.000 0.000 0.000
Sr2 0.500 0.500 0.000
Ge1 0.149 0.649 0.500
Ge2 0.649 0.851 0.500
Ge3 0.851 0.351 0.500
Ge4 0.351 0.149 0.500
Pd1 0.372 0.872 0.000
Pd2 0.872 0.628 0.000
Pd3 0.628 0.128 0.000
Pd4 0.128 0.372 0.000

Record 18
# Sr2Ge5Pd3

Crystalline Sr2Ge5Pd3 at its relaxed geometry (PBE, Alexandria via LeMat-Bulk).

Summary:
V   203 Å³/f.u.
Calculated formation energy   -633 meV/atom
Symmetry   No. 72

Cell lengths 6.197, 8.730, 8.730 Å; angles 74.19, 69.21, 69.21 degrees
Element x y z (fractional)
Sr1 0.131 0.605 0.134
Sr2 0.631 0.134 0.605
Sr3 0.869 0.395 0.866
Sr4 0.369 0.866 0.395
Ge1 0.393 0.258 0.956
Ge2 0.893 0.956 0.258
Ge3 0.607 0.742 0.044
Ge4 0.107 0.044 0.742
Ge5 0.479 0.771 0.771
Ge6 0.521 0.229 0.229
Ge7 0.750 0.500 0.500
Ge8 0.250 0.500 0.500
Ge9 0.021 0.229 0.229
Ge10 0.979 0.771 0.771
Pd1 0.363 0.525 0.749
Pd2 0.863 0.749 0.525
Pd3 0.637 0.475 0.251
Pd4 0.137 0.251 0.475
Pd5 0.250 0.000 0.000
Pd6 0.750 0.000 0.000

Record 19
# Sr2Ge3Pd6

Crystalline Sr2Ge3Pd6 at its relaxed geometry (PBE, Alexandria via LeMat-Bulk).

Summary:
V   219 Å³/f.u.
Calculated formation energy   -609 meV/atom
Symmetry   No. 189

Cell lengths 4.376, 7.598, 7.598 Å; angles 120.00, 90.00, 90.00 degrees
Element x y z (fractional)
Sr1 0.000 0.667 0.333
Sr2 0.000 0.333 0.667
Ge1 0.500 0.367 0.367
Ge2 0.500 0.633 0.000
Ge3 0.500 0.000 0.633
Pd1 0.500 0.702 0.702
Pd2 0.500 0.000 0.298
Pd3 0.000 0.207 0.207
Pd4 0.000 0.793 0.000
Pd5 0.500 0.298 0.000
Pd6 0.000 0.000 0.793